(1)
# La2SiMo

An optimized crystal structure of La2SiMo (PBE, Alexandria via LeMat-Bulk).

a b c (Å): 5.014 5.014 5.014
angles (deg): 60.00 60.00 60.00
Site moments in Bohr magnetons follow the coordinates.
Fractional positions:
La1 0.250 0.250 0.250  0.14
Si1 0.750 0.750 0.750  -0.01
Mo1 0.500 0.500 0.500  0.94
La2 0.000 0.000 0.000  0.00

Values from the calculation:
**Formation energy (no corrections)**: 191 meV per atom
**Space-group type**: F-43m
**Uncorrected energy**: -25.34 eV per cell

=====

(2)
# Pr2Nd4Mg

An optimized crystal structure of Pr2Nd4Mg (PBE, Alexandria via LeMat-Bulk).

a b c (Å): 4.804 4.804 11.530
angles (deg): 90.00 90.00 90.00
Fractional positions:
Nd1 0.741 0.741 0.233
Nd2 0.741 0.259 0.767
Nd3 0.259 0.741 0.767
Pr1 0.500 0.000 0.500
Nd4 0.259 0.259 0.233
Mg1 0.000 0.000 0.000
Pr2 0.000 0.500 0.500

Values from the calculation:
**Energy of formation from the pure elements**: 0.50 eV/atom
**Space-group type**: P-42m
**Relative energy among the computed polymorphs**: 429.4 meV per atom
**Uncorrected energy**: -26.71 eV per cell

=====

(3)
# CePr5Pb3

An optimized crystal structure of CePr5Pb3 (PBE, Alexandria via LeMat-Bulk).

a b c (Å): 6.817 9.851 9.851
angles (deg): 120.00 90.00 90.00
Site moments in Bohr magnetons follow the coordinates.
Fractional positions:
Pb1 0.750 0.000 0.664  -0.02
Pb2 0.750 0.664 0.000  -0.02
Pr1 0.000 0.667 0.333  0.20
Pr2 0.500 0.667 0.333  0.20
Pb3 0.250 0.664 0.664  -0.02
Ce1 0.000 0.000 0.000  1.28
Pr3 0.750 0.328 0.000  0.18
Pr4 0.000 0.333 0.667  0.20
Pr5 0.750 0.672 0.672  0.18
Pr6 0.500 0.333 0.667  0.20
Pr7 0.750 0.000 0.328  0.18
Pr8 0.250 0.328 0.328  0.18
Pb4 0.250 0.336 0.000  -0.02
Ce2 0.500 0.000 0.000  1.28
Pr9 0.250 0.000 0.672  0.18
Pr10 0.250 0.672 0.000  0.18
Pb5 0.250 0.000 0.336  -0.02
Pb6 0.750 0.336 0.336  -0.02

Values from the calculation:
**Energy of formation from the pure elements**: -0.42 eV/atom
**Space-group type**: P6_3/mcm
**Uncorrected energy**: -89.49 eV per cell

=====

(4)
# MgRh

An optimized crystal structure of MgRh (PBE, Alexandria via LeMat-Bulk).

a b c (Å): 5.151 5.611 2.947
angles (deg): 74.78 73.38 50.36
Fractional positions:
Rh1 0.496 0.477 0.514
Mg1 0.045 0.985 0.985
Rh2 0.421 0.106 0.236
Mg2 0.872 0.598 0.765

Values from the calculation:
**Energy of formation from the pure elements**: -0.43 eV/atom
**Space-group type**: C2/m
**Uncorrected energy**: -19.60 eV per cell

=====

Among the records above, which one has the lowest uncorrected energy? CePr5Pb3

=====

Among the records above, which one has the lowest uncorrected energy? CePr5Pb3